Pm2BeGe4Rh3 after structural relaxation, computed with PBE.

```
Pm2BeGe4Rh3
1.0
4.226 0.000 0.000
0.000 4.226 0.000
0.000 0.000 10.129
Pm Rh Ge Be
2 3 4 1
Direct
0.000 0.500 0.749
0.500 0.000 0.251
0.500 0.000 0.873
0.000 0.500 0.127
0.000 0.000 0.500
0.000 0.500 0.370
0.000 0.000 0.000
0.500 0.000 0.630
0.500 0.500 0.000
0.500 0.500 0.500
```

The value obtained for the magnetization is 0.000 μB/atom. For the formation energy, the calculation gives -0.714 eV per atom.